Density functional theory data (PBE) for a geometry-optimized AcNdAlTl structure. Values from VASP.

The structure in Quantum ESPRESSO input format:
```
&SYSTEM
  ibrav = 0, nat = 4, ntyp = 4
/
ATOMIC_SPECIES
Tl 204.38 Tl.upf
Al 26.98 Al.upf
Nd 144.24 Nd.upf
Ac 227.00 Ac.upf
CELL_PARAMETERS angstrom
-0.0279 5.4620 1.1743
-1.1790 1.7382 5.1770
4.0251 2.1907 3.1957
ATOMIC_POSITIONS angstrom
Tl 0.0000 0.0000 0.0000
Al 1.4091 4.6955 4.7735
Nd 2.1136 7.0432 7.1603
Ac 0.7045 2.3477 2.3868
```

Symmetry: F-43m (216)
DOS at the Fermi energy (states/eV/f.u.): 2.48
Energy (eV/atom): -4.0291
ΔE_f (eV per atom): -0.28

---

Density functional theory data (PBE) for a geometry-optimized AcNdYAl structure. Values from VASP.

The structure in Quantum ESPRESSO input format:
```
&SYSTEM
  ibrav = 0, nat = 4, ntyp = 4
/
ATOMIC_SPECIES
Al 26.98 Al.upf
Ac 227.00 Ac.upf
Y 88.91 Y.upf
Nd 144.24 Nd.upf
CELL_PARAMETERS angstrom
5.5814 0.0000 0.0000
2.7907 4.8336 0.0000
2.7907 1.6112 4.5572
ATOMIC_POSITIONS angstrom
Al 8.3721 4.8336 3.4179
Ac 2.7907 1.6112 1.1393
Y 0.0000 0.0000 0.0000
Nd 5.5814 3.2224 2.2786
```

Symmetry: F-43m (216)
DOS at the Fermi energy (states/eV/f.u.): 7.17
Energy (eV/atom): -4.7151
ΔE_f (eV per atom): 0.06

---

Density functional theory data (PBE) for a geometry-optimized AcNdAlZn structure. Values from VASP.

The structure in Quantum ESPRESSO input format:
```
&SYSTEM
  ibrav = 0, nat = 4, ntyp = 4
/
ATOMIC_SPECIES
Nd 144.24 Nd.upf
Ac 227.00 Ac.upf
Al 26.98 Al.upf
Zn 65.41 Zn.upf
CELL_PARAMETERS angstrom
3.8058 0.0000 0.0000
0.0000 3.8058 0.0000
0.0000 0.0000 7.6946
ATOMIC_POSITIONS angstrom
Nd 0.0000 0.0000 2.7852
Ac 0.0000 0.0000 6.5935
Al 1.9029 1.9029 1.0009
Zn 1.9029 1.9029 4.4552
```

Symmetry: P4mm (99)
DOS at the Fermi energy (states/eV/f.u.): 3.75
Energy (eV/atom): -3.7459
ΔE_f (eV per atom): -0.27
Energy relative to the lowest polymorph listed for this composition (kJ/mol of formula units): 0

---

Density functional theory data (PBE) for a geometry-optimized AcNdAlZn structure. Values from VASP.

The structure in Quantum ESPRESSO input format:
```
&SYSTEM
  ibrav = 0, nat = 4, ntyp = 4
/
ATOMIC_SPECIES
Al 26.98 Al.upf
Zn 65.41 Zn.upf
Ac 227.00 Ac.upf
Nd 144.24 Nd.upf
CELL_PARAMETERS angstrom
5.4223 0.0000 0.0000
2.7112 4.6959 0.0000
2.7112 1.5653 4.4273
ATOMIC_POSITIONS angstrom
Al 5.4223 3.1306 2.2136
Zn 0.0000 0.0000 0.0000
Ac 8.1335 4.6959 3.3205
Nd 2.7112 1.5653 1.1068
```

Symmetry: F-43m (216)
DOS at the Fermi energy (states/eV/f.u.): 4.36
Energy (eV/atom): -3.7294
ΔE_f (eV per atom): -0.26
Energy relative to the lowest polymorph listed for this composition (kJ/mol of formula units): 6

---

Please write out number 4 again, unchanged.
Density functional theory data (PBE) for a geometry-optimized AcNdAlZn structure. Values from VASP.

The structure in Quantum ESPRESSO input format:
```
&SYSTEM
  ibrav = 0, nat = 4, ntyp = 4
/
ATOMIC_SPECIES
Al 26.98 Al.upf
Zn 65.41 Zn.upf
Ac 227.00 Ac.upf
Nd 144.24 Nd.upf
CELL_PARAMETERS angstrom
5.4223 0.0000 0.0000
2.7112 4.6959 0.0000
2.7112 1.5653 4.4273
ATOMIC_POSITIONS angstrom
Al 5.4223 3.1306 2.2136
Zn 0.0000 0.0000 0.0000
Ac 8.1335 4.6959 3.3205
Nd 2.7112 1.5653 1.1068
```

Symmetry: F-43m (216)
DOS at the Fermi energy (states/eV/f.u.): 4.36
Energy (eV/atom): -3.7294
ΔE_f (eV per atom): -0.26
Energy relative to the lowest polymorph listed for this composition (kJ/mol of formula units): 6

---

Which formula does entry 2 have? AcNdYAl

---

Among the records above, which one has the lowest energy? AcNdYAl

---

Among the records above, which one has the highest energy? number 4